# 1
Entry from Alexandria via LeMat-Bulk: a relaxed structure of EuGa4Pb (PBE).

The structure in CIF format:
```
data_EuGa4Pb
_symmetry_space_group_name_H-M 'P 1'
_symmetry_Int_Tables_number 1
_symmetry_space_group_name_Hall 'P 1'
_cell_length_a 5.767
_cell_length_b 5.767
_cell_length_c 5.767
_cell_angle_alpha 60.00
_cell_angle_beta 60.00
_cell_angle_gamma 60.00
loop_
_atom_site_label
_atom_site_type_symbol
_atom_site_fract_x
_atom_site_fract_y
_atom_site_fract_z
Eu1 Eu 0.000 0.000 0.000
Ga1 Ga 0.375 0.375 0.375
Ga2 Ga 0.375 0.375 0.875
Ga3 Ga 0.375 0.875 0.375
Ga4 Ga 0.875 0.375 0.375
Pb1 Pb 0.750 0.750 0.750
```

Output
**ρ**: 7.8 g cm⁻³
**Final energy**: -4.576 eV/atom
**M_tot**: 1.212 μB per atom
**Symmetry**: F-43m, No. 216
**Calculated formation energy**: -0.23 eV per atom

# 2
Entry from Alexandria via LeMat-Bulk: a relaxed structure of AcCdSnAu2 (PBE).

The structure in CIF format:
```
data_AcCdSnAu2
_symmetry_space_group_name_H-M 'P 1'
_symmetry_Int_Tables_number 1
_symmetry_space_group_name_Hall 'P 1'
_cell_length_a 7.083
_cell_length_b 7.083
_cell_length_c 7.083
_cell_angle_alpha 143.18
_cell_angle_beta 143.18
_cell_angle_gamma 53.06
loop_
_atom_site_label
_atom_site_type_symbol
_atom_site_fract_x
_atom_site_fract_y
_atom_site_fract_z
Ac1 Ac 0.000 0.000 0.000
Cd1 Cd 0.250 0.750 0.500
Sn1 Sn 0.750 0.250 0.500
Au1 Au 0.392 0.392 0.000
Au2 Au 0.608 0.608 0.000
```

Output
**ρ**: 11.2 g cm⁻³
**Final energy**: -3.709 eV/atom
**M_tot**: 0.000 μB per atom
**Symmetry**: I-4m2, No. 119
**Calculated formation energy**: -0.59 eV per atom

# 3
Entry from Alexandria via LeMat-Bulk: a relaxed structure of PH3Br (PBE).

The structure in CIF format:
```
data_PH3Br
_symmetry_space_group_name_H-M 'P 1'
_symmetry_Int_Tables_number 1
_symmetry_space_group_name_Hall 'P 1'
_cell_length_a 3.650
_cell_length_b 3.650
_cell_length_c 3.650
_cell_angle_alpha 90.00
_cell_angle_beta 90.00
_cell_angle_gamma 90.00
loop_
_atom_site_label
_atom_site_type_symbol
_atom_site_fract_x
_atom_site_fract_y
_atom_site_fract_z
P1 P 0.000 0.000 0.000
H1 H 0.000 0.000 0.500
H2 H 0.000 0.500 0.000
H3 H 0.500 0.000 0.000
Br1 Br 0.500 0.500 0.500
```

Output
**ρ**: 3.9 g cm⁻³
**Excess energy over the best structure of this formula in the dataset**: 614 meV/atom
**Final energy**: -2.846 eV/atom
**M_tot**: 0.000 μB per atom
**Symmetry**: Pm-3m, No. 221

# 4
Entry from Alexandria via LeMat-Bulk: a relaxed structure of Er8Si3Te3Se (PBE).

The structure in CIF format:
```
data_Er8Si3Te3Se
_symmetry_space_group_name_H-M 'P 1'
_symmetry_Int_Tables_number 1
_symmetry_space_group_name_Hall 'P 1'
_cell_length_a 8.383
_cell_length_b 8.383
_cell_length_c 8.383
_cell_angle_alpha 59.27
_cell_angle_beta 59.27
_cell_angle_gamma 59.27
loop_
_atom_site_label
_atom_site_type_symbol
_atom_site_fract_x
_atom_site_fract_y
_atom_site_fract_z
Er1 Er 0.226 0.750 0.750
Er2 Er 0.239 0.239 0.239
Er3 Er 0.250 0.250 0.774
Er4 Er 0.250 0.774 0.250
Er5 Er 0.750 0.226 0.750
Er6 Er 0.750 0.750 0.226
Er7 Er 0.761 0.761 0.761
Er8 Er 0.774 0.250 0.250
Si1 Si 0.000 0.000 0.500
Si2 Si 0.000 0.500 0.000
Si3 Si 0.500 0.000 0.000
Te1 Te 0.000 0.500 0.500
Te2 Te 0.500 0.000 0.500
Te3 Te 0.500 0.500 0.000
Se1 Se 0.500 0.500 0.500
```

Output
**ρ**: 7.6 g cm⁻³
**Formation energy (no corrections)**: -1.061 eV per atom
**Final energy**: -5.440 eV/atom
**M_tot**: 0.000 μB per atom
**Symmetry**: R-3m, No. 166

# 5
Entry from Alexandria via LeMat-Bulk: a relaxed structure of Cs2PuTlCl5 (PBE).

The structure in CIF format:
```
data_Cs2PuTlCl5
_symmetry_space_group_name_H-M 'P 1'
_symmetry_Int_Tables_number 1
_symmetry_space_group_name_Hall 'P 1'
_cell_length_a 5.474
_cell_length_b 5.474
_cell_length_c 12.006
_cell_angle_alpha 90.00
_cell_angle_beta 90.00
_cell_angle_gamma 90.00
loop_
_atom_site_label
_atom_site_type_symbol
_atom_site_fract_x
_atom_site_fract_y
_atom_site_fract_z
Cs1 Cs 0.000 0.000 0.224
Cs2 Cs 0.000 0.000 0.776
Pu1 Pu 0.500 0.500 0.000
Tl1 Tl 0.500 0.500 0.500
Cl1 Cl 0.000 0.000 0.500
Cl2 Cl 0.000 0.500 0.000
Cl3 Cl 0.500 0.000 0.000
Cl4 Cl 0.500 0.500 0.235
Cl5 Cl 0.500 0.500 0.765
```

Output
**ρ**: 4.1 g cm⁻³
**Formation energy (no corrections)**: -1.661 eV per atom
**Final energy**: -4.732 eV/atom
**M_tot**: 0.654 μB per atom
**Symmetry**: P4/mmm, No. 123

# 6
Entry from Alexandria via LeMat-Bulk: a relaxed structure of SrMg2W (PBE).

The structure in CIF format:
```
data_SrMg2W
_symmetry_space_group_name_H-M 'P 1'
_symmetry_Int_Tables_number 1
_symmetry_space_group_name_Hall 'P 1'
_cell_length_a 11.038
_cell_length_b 11.038
_cell_length_c 11.038
_cell_angle_alpha 16.18
_cell_angle_beta 16.18
_cell_angle_gamma 16.18
loop_
_atom_site_label
_atom_site_type_symbol
_atom_site_fract_x
_atom_site_fract_y
_atom_site_fract_z
Sr1 Sr 0.000 0.000 0.000
Mg1 Mg 0.238 0.238 0.238
Mg2 Mg 0.762 0.762 0.762
W1 W 0.500 0.500 0.500
```

Output
**ρ**: 5.8 g cm⁻³
**Excess energy over the best structure of this formula in the dataset**: 142 meV/atom
**Final energy**: -3.732 eV/atom
**M_tot**: 0.000 μB per atom
**Symmetry**: R-3m, No. 166
**Calculated formation energy**: 0.72 eV per atom

Repeat the second record exactly.
Entry from Alexandria via LeMat-Bulk: a relaxed structure of AcCdSnAu2 (PBE).

The structure in CIF format:
```
data_AcCdSnAu2
_symmetry_space_group_name_H-M 'P 1'
_symmetry_Int_Tables_number 1
_symmetry_space_group_name_Hall 'P 1'
_cell_length_a 7.083
_cell_length_b 7.083
_cell_length_c 7.083
_cell_angle_alpha 143.18
_cell_angle_beta 143.18
_cell_angle_gamma 53.06
loop_
_atom_site_label
_atom_site_type_symbol
_atom_site_fract_x
_atom_site_fract_y
_atom_site_fract_z
Ac1 Ac 0.000 0.000 0.000
Cd1 Cd 0.250 0.750 0.500
Sn1 Sn 0.750 0.250 0.500
Au1 Au 0.392 0.392 0.000
Au2 Au 0.608 0.608 0.000
```

Output
**ρ**: 11.2 g cm⁻³
**Final energy**: -3.709 eV/atom
**M_tot**: 0.000 μB per atom
**Symmetry**: I-4m2, No. 119
**Calculated formation energy**: -0.59 eV per atom

Number 4 is which compound?
Er8Si3Te3Se

Among the records above, which one has the lowest final energy?
Er8Si3Te3Se

Among the records above, which one has the lowest ρ?
PH3Br